{
  "formula": "GaSe2N",
  "functional": "meta-GGA SCAN",
  "state": "PBEsol geometry",
  "lattice_angstrom": [[3.962, 0.000, 0.000], [-1.981, 3.432, 0.000], [0.000, 0.000, 19.172]],
  "species": ["Ga", "Ga", "Ga", "Se", "Se", "Se", "Se", "Se", "Se", "N", "N", "N"],
  "fractional_positions": [[0.000, 0.000, 0.000], [0.333, 0.667, 0.667], [0.667, 0.333, 0.333], [0.000, 0.000, 0.409], [0.000, 0.000, 0.591], [0.333, 0.667, 0.075], [0.333, 0.667, 0.258], [0.667, 0.333, 0.742], [0.667, 0.333, 0.925], [0.000, 0.000, 0.500], [0.333, 0.667, 0.167], [0.667, 0.333, 0.833]],
  "e_tot_ev_per_cell": -189.6,
  "formation_energy_uncorrected_mev_per_atom": 648
}

---

{
  "formula": "TiGaSeN2",
  "functional": "meta-GGA SCAN",
  "state": "PBEsol geometry",
  "lattice_angstrom": [[3.767, 0.000, 0.000], [0.000, 3.767, 0.000], [0.000, 0.000, 5.109]],
  "species": ["Ti", "Ga", "Se", "N", "N"],
  "fractional_positions": [[0.000, 0.000, 0.000], [0.500, 0.500, 0.500], [0.500, 0.500, 0.000], [0.000, 0.500, 0.500], [0.500, 0.000, 0.500]],
  "e_tot_ev_per_cell": -67.6,
  "formation_energy_uncorrected_mev_per_atom": 691
}

---

{
  "formula": "YGaSeN2",
  "functional": "meta-GGA SCAN",
  "state": "PBEsol geometry",
  "lattice_angstrom": [[3.922, 0.000, 0.000], [0.000, 3.922, 0.000], [0.000, 0.000, 5.072]],
  "species": ["Y", "Ga", "Se", "N", "N"],
  "fractional_positions": [[0.000, 0.000, 0.000], [0.500, 0.500, 0.500], [0.500, 0.500, 0.000], [0.000, 0.500, 0.500], [0.500, 0.000, 0.500]],
  "e_tot_ev_per_cell": -82.7,
  "formation_energy_uncorrected_mev_per_atom": 34
}

---

{
  "formula": "ZnGaSe2N",
  "functional": "meta-GGA SCAN",
  "state": "PBEsol geometry",
  "lattice_angstrom": [[5.091, 0.000, 0.000], [0.000, 5.091, 0.000], [0.000, 0.000, 3.641]],
  "species": ["Zn", "Ga", "Se", "Se", "N"],
  "fractional_positions": [[0.000, 0.000, 0.000], [0.500, 0.500, 0.500], [0.000, 0.500, 0.000], [0.500, 0.000, 0.000], [0.000, 0.000, 0.500]],
  "e_tot_ev_per_cell": -75.7,
  "formation_energy_uncorrected_mev_per_atom": 724
}

---

{
  "formula": "GaSnTe2N",
  "functional": "meta-GGA SCAN",
  "state": "PBEsol geometry",
  "lattice_angstrom": [[5.889, 0.000, 0.000], [0.000, 5.889, 0.000], [0.000, 0.000, 3.840]],
  "species": ["Ga", "Sn", "Te", "Te", "N"],
  "fractional_positions": [[0.000, 0.000, 0.000], [0.500, 0.500, 0.500], [0.000, 0.500, 0.500], [0.500, 0.000, 0.500], [0.500, 0.500, 0.000]],
  "e_tot_ev_per_cell": -132.2,
  "formation_energy_uncorrected_mev_per_atom": 772
}

---

{
  "formula": "Sr6Ga5N",
  "functional": "meta-GGA SCAN",
  "state": "PBEsol geometry",
  "lattice_angstrom": [[3.739, 2.158, 13.309], [-3.739, 2.158, 13.309], [0.000, -4.317, 13.309]],
  "species": ["Sr", "Sr", "Sr", "Sr", "Sr", "Sr", "Sr", "Sr", "Sr", "Sr", "Sr", "Sr", "Ga", "Ga", "Ga", "Ga", "Ga", "Ga", "Ga", "Ga", "Ga", "Ga", "N", "N"],
  "fractional_positions": [[0.136, 0.714, 0.258], [0.214, 0.636, 0.758], [0.242, 0.786, 0.364], [0.258, 0.136, 0.714], [0.286, 0.742, 0.864], [0.364, 0.242, 0.786], [0.636, 0.758, 0.214], [0.714, 0.258, 0.136], [0.742, 0.864, 0.286], [0.758, 0.214, 0.636], [0.786, 0.364, 0.242], [0.864, 0.286, 0.742], [0.041, 0.459, 0.250], [0.195, 0.195, 0.195], [0.250, 0.041, 0.459], [0.305, 0.305, 0.305], [0.459, 0.250, 0.041], [0.541, 0.750, 0.959], [0.695, 0.695, 0.695], [0.750, 0.959, 0.541], [0.805, 0.805, 0.805], [0.959, 0.541, 0.750], [0.000, 0.000, 0.000], [0.500, 0.500, 0.500]],
  "e_tot_ev_per_cell": -463.6,
  "formation_energy_uncorrected_mev_per_atom": -592
}

---

{
  "formula": "Sr3Ga3N5",
  "functional": "meta-GGA SCAN",
  "state": "PBEsol geometry",
  "lattice_angstrom": [[5.931, 0.000, 0.000], [-0.646, 7.131, 0.000], [-2.050, -2.923, 7.882]],
  "species": ["Sr", "Sr", "Sr", "Sr", "Sr", "Sr", "Ga", "Ga", "Ga", "Ga", "Ga", "Ga", "N", "N", "N", "N", "N", "N", "N", "N", "N", "N"],
  "fractional_positions": [[0.156, 0.154, 0.202], [0.168, 0.363, 0.873], [0.319, 0.910, 0.609], [0.681, 0.090, 0.391], [0.832, 0.637, 0.127], [0.844, 0.846, 0.798], [0.210, 0.454, 0.567], [0.375, 0.622, 0.283], [0.408, 0.816, 0.973], [0.592, 0.184, 0.027], [0.625, 0.378, 0.717], [0.790, 0.546, 0.433], [0.112, 0.553, 0.381], [0.241, 0.724, 0.109], [0.265, 0.028, 0.906], [0.342, 0.212, 0.526], [0.457, 0.610, 0.777], [0.543, 0.390, 0.223], [0.658, 0.788, 0.474], [0.735, 0.972, 0.094], [0.759, 0.276, 0.891], [0.888, 0.447, 0.619]],
  "e_tot_ev_per_cell": -341.7,
  "formation_energy_uncorrected_mev_per_atom": -774
}

---

{
  "formula": "SrTa2GaN",
  "functional": "meta-GGA SCAN",
  "state": "PBEsol geometry",
  "lattice_angstrom": [[4.215, 0.000, 0.000], [0.000, 4.215, 0.000], [0.000, 0.000, 5.003]],
  "species": ["Sr", "Ta", "Ta", "Ga", "N"],
  "fractional_positions": [[0.000, 0.000, 0.000], [0.000, 0.500, 0.500], [0.500, 0.000, 0.500], [0.500, 0.500, 0.000], [0.000, 0.000, 0.500]],
  "e_tot_ev_per_cell": -181.6,
  "formation_energy_uncorrected_mev_per_atom": -110
}